Crystalline DyErIn2Se4 at its relaxed geometry. Source: the Alexandria database, functional PBE.

Crystal system: monoclinic
V, Å³ per cell: 229.2
E_form (uncorrected), kJ/mol of formula units: -1002

Geometry as POSCAR:
```
DyErIn2Se4
1.0
7.1563 0.0000 0.0000
0.0000 4.1334 0.0000
-2.3832 0.0000 7.7479
Dy Er In Se
1 1 2 4
direct
0.0000 0.0000 0.0000
0.5000 0.5000 0.0000
0.0000 0.5000 0.5000
0.5000 0.0000 0.5000
0.2376 0.5000 0.2077
0.2664 0.0000 0.7933
0.7336 0.0000 0.2067
0.7624 0.5000 0.7923
```